No. 1
# RbNb3Tl (SCAN, single point on PBEsol structure)
data_RbNb3Tl
_cell_length_a 5.271
_cell_length_b 5.271
_cell_length_c 5.271
_cell_angle_alpha 90.00
_cell_angle_beta 90.00
_cell_angle_gamma 90.00
_symmetry_space_group_name_H-M 'P m -3 m'
_symmetry_Int_Tables_number 221
_symmetry_space_group_name_Hall '-P 4 2 3'
loop_
_atom_site_label
_atom_site_type_symbol
_atom_site_fract_x
_atom_site_fract_y
_atom_site_fract_z
Rb1 Rb 0.000 0.000 0.000
Nb1 Nb 0.000 0.500 0.500
Tl1 Tl 0.500 0.500 0.500
# - Calculated formation energy: 2027 meV/atom

=====

No. 2
# Mg5Be (SCAN, single point on PBEsol structure)
data_Mg5Be
_cell_length_a 5.3044
_cell_length_b 5.3044
_cell_length_c 4.8539
_cell_angle_alpha 90.00
_cell_angle_beta 90.00
_cell_angle_gamma 120.00
_symmetry_space_group_name_H-M 'P -6 2 m'
_symmetry_Int_Tables_number 189
_symmetry_space_group_name_Hall 'P -6 -2'
loop_
_atom_site_label
_atom_site_type_symbol
_atom_site_fract_x
_atom_site_fract_y
_atom_site_fract_z
Mg1 Mg 0.0000 0.3162 0.0000
Mg2 Mg 0.3333 0.6667 0.5000
Be1 Be 0.0000 0.0000 0.5000
# - Calculated formation energy: 192 meV/atom
# - E above lowest polymorph: 0.037 eV per atom

=====

No. 3
# K2OsRu (SCAN, single point on PBEsol structure)
data_K2OsRu
_cell_length_a 4.006
_cell_length_b 5.694
_cell_length_c 9.360
_cell_angle_alpha 90.00
_cell_angle_beta 90.00
_cell_angle_gamma 90.00
_symmetry_space_group_name_H-M 'I m m 2'
_symmetry_Int_Tables_number 44
loop_
_symmetry_equiv_pos_as_xyz
'x,y,z'
'-x,-y,z'
'-x,y,z'
'x,-y,z'
'x+1/2,y+1/2,z+1/2'
'-x+1/2,-y+1/2,z+1/2'
'-x+1/2,y+1/2,z+1/2'
'x+1/2,-y+1/2,z+1/2'
loop_
_atom_site_label
_atom_site_type_symbol
_atom_site_fract_x
_atom_site_fract_y
_atom_site_fract_z
K1 K 0.000 0.000 0.000
K2 K 0.000 0.500 0.199
Os1 Os 0.000 0.500 0.791
Ru1 Ru 0.000 0.000 0.407
# - Calculated formation energy: 1001 meV/atom
# - E above lowest polymorph: 0.349 eV per atom

=====

No. 4
A crystal of NbGa2NiSb relaxed with PBEsol. Source: Alexandria via LeMat-Bulk, functional SCAN.

Cell and atoms, written as CIF:
```
data_NbGa2NiSb
_cell_length_a 5.075
_cell_length_b 5.075
_cell_length_c 4.466
_cell_angle_alpha 90.00
_cell_angle_beta 90.00
_cell_angle_gamma 90.00
_symmetry_space_group_name_H-M 'P 4/m m m'
_symmetry_Int_Tables_number 123
_symmetry_space_group_name_Hall '-P 4 2'
loop_
_atom_site_label
_atom_site_type_symbol
_atom_site_fract_x
_atom_site_fract_y
_atom_site_fract_z
Nb1 Nb 0.000 0.000 0.000
Ga1 Ga 0.000 0.500 0.500
Ni1 Ni 0.500 0.500 0.000
Sb1 Sb 0.500 0.500 0.500
```

=====

No. 5
A crystal of ZrAlHg2Br relaxed with PBEsol. Source: Alexandria via LeMat-Bulk, functional SCAN.

Cell and atoms, written as CIF:
```
data_ZrAlHg2Br
_cell_length_a 5.409
_cell_length_b 5.409
_cell_length_c 4.917
_cell_angle_alpha 90.00
_cell_angle_beta 90.00
_cell_angle_gamma 90.00
_symmetry_space_group_name_H-M 'P 4/m m m'
_symmetry_Int_Tables_number 123
_symmetry_space_group_name_Hall '-P 4 2'
loop_
_atom_site_label
_atom_site_type_symbol
_atom_site_fract_x
_atom_site_fract_y
_atom_site_fract_z
Zr1 Zr 0.000 0.000 0.000
Al1 Al 0.500 0.500 0.000
Hg1 Hg 0.000 0.500 0.500
Br1 Br 0.000 0.000 0.500
```

=====

No. 6
# BaZr2Pt (SCAN, single point on PBEsol structure)
data_BaZr2Pt
_cell_length_a 7.174
_cell_length_b 7.174
_cell_length_c 7.174
_cell_angle_alpha 90.00
_cell_angle_beta 90.00
_cell_angle_gamma 90.00
_symmetry_space_group_name_H-M 'F -4 3 m'
_symmetry_Int_Tables_number 216
_symmetry_space_group_name_Hall 'F -4 2 3'
loop_
_atom_site_label
_atom_site_type_symbol
_atom_site_fract_x
_atom_site_fract_y
_atom_site_fract_z
Ba1 Ba 0.000 0.000 0.000
Zr1 Zr 0.000 0.000 0.500
Zr2 Zr 0.250 0.250 0.250
Pt1 Pt 0.250 0.250 0.750
# - Calculated formation energy: 225 meV/atom
# - E above lowest polymorph: 0.438 eV per atom

=====

| no. | E_tot (eV per atom) |
| --- | --- |
| 1 | -36.470 |
| 2 | -4.679 |
| 3 | -29.840 |
| 4 | -22.618 |
| 5 | -37.962 |
| 6 | -42.560 |